MnTl2O5 after structural relaxation. Source: Alexandria, functional PBE with a Hubbard U.

Calculated values
space-group type: Pnma
uncorrected energy: -5.51 eV/atom
total magnetic moment: 2.96 μB/f.u.

POSCAR file:
```
MnTl2O5
1.0
7.340 0.000 0.000
0.000 3.699 0.000
0.000 0.000 15.280
Mn Tl O
4 8 20
Cartesian
0.685 0.925 1.063
2.985 2.775 8.703
4.355 0.925 6.577
6.655 2.775 14.217
0.769 0.925 6.406
1.306 0.925 11.511
2.364 2.775 3.871
2.901 2.775 14.046
4.439 0.925 1.234
4.976 0.925 11.409
6.034 2.775 3.769
6.571 2.775 8.874
0.474 2.775 4.995
0.516 2.775 0.640
0.874 2.775 13.029
1.224 2.775 7.727
1.727 0.925 2.615
1.943 2.775 10.255
2.446 0.925 0.087
2.796 0.925 5.389
3.154 0.925 8.280
3.196 0.925 12.635
4.144 2.775 2.645
4.185 2.775 7.000
4.543 2.775 9.891
4.894 2.775 15.193
5.397 0.925 5.025
5.612 2.775 12.665
6.115 0.925 7.553
6.466 0.925 2.251
6.824 0.925 14.640
6.866 0.925 10.285
```